Entry from the Alexandria database: MnAuOF2 after structural relaxation (GGA+U).

POSCAR file:
```
MnAuOF2
1.0
-0.3074 1.4921 3.8045
0.2454 -3.8016 1.5108
3.8582 0.3227 0.1852
F Mn O Au
2 1 1 1
Cartesian
0.1227 -1.9008 0.7554 F
-0.1537 0.7460 1.9023 F
0.0000 0.0000 0.0000 Mn
1.9291 0.1613 0.0926 O
1.8981 -0.9934 2.7502 Au
```

Results
DOS(E_F) ... 1.46 states/eV per cell
E_tot ... -25.30 eV for the cell shown
SG ... No. 123
Energy above the most stable polymorph in this dataset ... 0.000 eV per atom

---

Entry from the Alexandria database: Mn2PAuF after structural relaxation (GGA+U).

POSCAR file:
```
Mn2PAuF
1.0
4.7957 0.0000 0.0000
0.0000 4.6944 0.0000
0.0000 0.0000 4.7957
Au P F Mn
1 1 1 2
Cartesian
0.0000 2.3472 0.0000 Au
0.0000 0.0000 0.0000 P
2.3979 2.3472 2.3979 F
0.0000 0.0000 2.3979 Mn
2.3979 0.0000 0.0000 Mn
```

Results
DOS(E_F) ... 2.13 states/eV per cell
E_tot ... -26.21 eV for the cell shown
SG ... No. 123

---

Entry from the Alexandria database: MnPdAuF6 after structural relaxation (GGA+U).

POSCAR file:
```
MnPdAuF6
1.0
5.6108 0.0000 0.0000
-2.8054 4.8591 0.0000
0.0000 0.0000 9.8525
F Au Pd Mn
12 2 2 2
Cartesian
4.6271 1.6791 1.3434 F
0.9838 1.6791 3.5828 F
0.9622 1.6915 8.5090 F
3.6648 0.0124 3.5828 F
1.8216 3.1800 6.2697 F
-1.8216 3.1800 8.5090 F
-0.9622 1.6915 6.2697 F
3.7677 3.1676 3.5828 F
1.9460 0.0124 1.3434 F
1.8432 3.1676 1.3434 F
0.8594 4.8467 8.5090 F
-0.8594 4.8467 6.2697 F
0.0000 0.0000 0.0000 Au
0.0000 0.0000 4.9262 Au
2.8054 1.6197 2.4631 Pd
0.0000 3.2394 7.3894 Pd
2.8054 1.6197 7.3894 Mn
0.0000 3.2394 2.4631 Mn
```

Results
DOS(E_F) ... 6.63 states/eV per cell
E_tot ... -81.19 eV for the cell shown
SG ... No. 163

---

Entry from the Alexandria database: RbMn2AuF after structural relaxation (GGA+U).

POSCAR file:
```
RbMn2AuF
1.0
-4.0623 1.3972 -1.6592
-1.4611 -6.2125 -1.6542
-1.9140 -0.6515 4.1375
Rb Mn F Au
1 2 1 1
Cartesian
-3.7187 -2.7334 0.4121 Rb
-0.9570 -0.3258 2.0688 Mn
-2.0311 0.6986 -0.8296 Mn
0.0000 0.0000 0.0000 F
-0.7306 -3.1063 -0.8271 Au
```

Results
DOS(E_F) ... 2.47 states/eV per cell
E_tot ... -21.58 eV for the cell shown
SG ... No. 123